No. 1
{"formula": "RbBe2P2", "functional": "GGA-PBE", "state": "optimized geometry", "ef_ev_per_atom": -0.33, "total_magnetization_mub_per_cell": 0.00, "lattice_angstrom": [[-3.176, 0.802, 1.348], [-1.074, -3.330, -0.549], [0.284, -3.163, 7.204]], "species": ["P", "P", "Rb", "Be", "Be"], "frac_coords": [[0.340, 0.340, 0.321], [0.660, 0.660, 0.679], [0.000, 0.000, 0.000], [0.750, 0.250, 0.500], [0.250, 0.750, 0.500]]}

***

No. 2
{"formula": "SiTe2Au", "functional": "GGA-PBE", "state": "optimized geometry", "total_magnetization_mub_per_cell": 0.00, "e_form_raw_ev_per_atom": 0.46, "lattice_angstrom": [[-2.681, -1.521, -1.704], [-0.945, -1.653, 2.963], [-4.342, 5.665, 1.777]], "species": ["Au", "Si", "Te", "Te"], "frac_coords": [[0.500, 0.500, 0.250], [0.500, 0.500, 0.750], [0.000, 0.000, 0.989], [0.000, 0.000, 0.511]]}